The following is a DFT calculation (PBE) of a relaxed Er2Hf2Si2C crystal.

E_form (uncorrected) = -456 kJ/mol of formula units
SG = I4/mmm

The structure in POSCAR format:
```
Er2Hf2Si2C
1.0
-3.2965 0.2702 -2.8243
2.3024 -2.2751 -2.9050
-2.3556 -5.3589 5.5858
Si C Hf Er
2 1 2 2
Cartesian
-1.2411 -2.6618 -2.1549
-2.1085 -4.7020 2.0113
0.0000 0.0000 0.0000
-1.6483 0.1351 -1.4121
1.1512 -1.1376 -1.4525
-2.3905 -5.2249 -1.0585
-0.9591 -2.1389 0.9149
```

The following is a DFT calculation (PBE) of a relaxed Er6HgC3 crystal.

SG = P2_1/m
E_tot = -5.88 eV per atom

The structure in POSCAR format:
```
Er6HgC3
1.0
3.5743 0.0000 0.0000
0.0000 10.3691 -3.6394
0.0000 0.1451 11.3635
C Er Hg
6 12 2
Cartesian
0.8936 0.4028 1.5255
2.6807 3.6810 4.0659
2.6807 10.1114 6.1986
0.8936 6.8332 3.6582
0.8936 2.7838 7.1576
2.6807 7.7304 0.5665
2.6807 1.9441 5.7570
2.6807 7.9315 4.8596
2.6807 1.3796 0.0885
2.6807 3.7450 8.5201
0.8936 8.5701 1.9671
2.6807 5.6484 2.3780
0.8936 4.8658 5.3461
0.8936 0.6741 8.4672
0.8936 9.1346 7.6356
0.8936 6.7692 -0.7960
0.8936 2.5827 2.8645
2.6807 9.8401 -0.7431
2.6807 6.6409 7.7924
0.8936 3.8733 -0.0683
```

The following is a DFT calculation (PBE) of a relaxed Er3Hg2C crystal.

SG = C2/c
E_tot = -4.20 eV per atom

The structure in POSCAR format:
```
Er3Hg2C
1.0
6.3484 0.1350 0.2325
-1.2791 6.8224 0.5019
-1.2791 -2.9463 6.1738
Er C Hg
6 2 4
Cartesian
1.3878 1.9602 4.9891
2.4025 2.0508 1.9191
-0.7717 0.5825 2.6162
2.5347 -1.4057 3.2032
4.5621 3.4286 4.2920
-0.6395 3.4112 0.2510
3.4823 1.3305 3.9238
0.3081 2.6806 2.9845
3.4823 4.9751 1.8076
0.3081 6.2122 0.9340
3.4823 -2.2011 5.9743
0.3081 -0.9641 5.1006
```

The following is a DFT calculation (PBE) of a relaxed Er6Hg2C crystal.

SG = P4_2/mnm
E_tot = -4.20 eV per atom

The structure in POSCAR format:
```
Er6Hg2C
1.0
6.7381 0.0000 0.0000
0.0000 6.7381 0.0000
0.0000 0.0000 11.4940
Hg C Er
4 2 12
Cartesian
3.3690 3.3690 1.7024
3.3690 3.3690 9.7916
0.0000 0.0000 4.0446
0.0000 0.0000 7.4494
0.0000 0.0000 0.0000
3.3690 3.3690 5.7470
5.4556 1.2825 1.7031
1.6738 1.6738 0.0000
5.0643 5.0643 0.0000
4.6515 4.6515 7.4502
2.0866 2.0866 4.0439
1.2825 5.4556 1.7031
1.2825 5.4556 9.7909
5.4556 1.2825 9.7909
1.6953 5.0428 5.7470
2.0866 2.0866 7.4502
4.6515 4.6515 4.0439
5.0428 1.6953 5.7470
```

The following is a DFT calculation (PBE) of a relaxed Er4HgC crystal.

SG = C2/c
E_tot = -4.84 eV per atom

The structure in POSCAR format:
```
Er4HgC
1.0
6.1194 -0.4111 0.0000
-1.4760 7.3419 0.0000
-2.3217 -3.4654 6.8853
Er Hg C
8 2 2
Cartesian
2.5688 2.4551 4.1239
-1.3141 5.7878 0.6770
-0.9850 4.6813 4.1239
-0.5762 2.1168 6.2084
-0.2471 1.0103 2.7614
3.3068 -1.2159 2.7614
2.8979 1.3486 0.6770
3.6359 -2.3224 6.2084
0.7919 3.5682 1.5979
1.5299 -0.1028 5.2875
-2.2678 3.7737 5.9197
4.5896 -0.3083 0.9656
```

The following is a DFT calculation (PBE) of a relaxed Er4HgC2 crystal.

SG = R-3m
E_tot = -5.65 eV per atom

The structure in POSCAR format:
```
Er4HgC2
1.0
3.5590 0.0000 0.0000
1.7795 3.0822 0.0000
1.7795 1.0274 13.9981
Er Hg C
4 1 2
Cartesian
5.3385 3.0822 11.4511
1.7795 1.0274 2.5470
1.7795 1.0274 8.7785
5.3385 3.0822 5.2196
0.0000 0.0000 0.0000
3.5590 2.0548 3.9304
3.5590 2.0548 10.0677
```

no.,total magnetization (μB/f.u.)
1,0.01
2,0.38
3,0.00
4,0.01
5,0.00
6,0.66